1.
A plane-wave DFT calculation with SCAN was carried out for LiCuF3 at its PBEsol-relaxed geometry.

## Properties
energy above the lowest structure with this stoichiometry	75	meV per atom
formation energy without anion corrections	-11.3	eV/f.u.

Unit cell a=8.7116 b=6.6495 c=7.2885 alpha=90.00 beta=90.00 gamma=90.00
With the nearest neighbours (Å) after each atom.
Space group Amm2 (No. 38)
Inequivalent atoms, fractional coordinates:
Li 0.0000 0.0000 0.0000  6 F 1.90-2.04
Li 0.0000 0.2451 0.2501  2 F 1.86
Li 0.5000 0.0000 0.5506  5 F 1.92-2.02
Cu 0.1820 0.0000 0.4989  4 F 1.87-2.04
Cu 0.3285 0.0000 0.9972  6 F 1.93-2.12
F 0.0000 0.1936 0.5013  3 Li 1.86-2.04, 2 Cu 2.04
F 0.1487 0.0000 0.1935  3 Li 1.92-2.12, 1 Cu 2.12
F 0.1519 0.0000 0.8121  1 Li 1.90, 1 Cu 2.05
F 0.3313 0.2025 0.5032  2 Cu 1.87-1.98, 1 Li 2.02
F 0.5000 0.0000 0.1655  2 Cu 1.93
F 0.5000 0.0000 0.8146  1 Li 1.92, 2 Cu 2.00



2.
A plane-wave DFT calculation with SCAN was carried out for LiCuF3 at its PBEsol-relaxed geometry.

## Properties
density of states at the Fermi level	0.28	states/eV per atom
energy above the lowest structure with this stoichiometry	36	meV per atom
formation energy without anion corrections	-11.5	eV/f.u.

Unit cell a=5.0367 b=5.0367 c=13.8114 alpha=90.00 beta=90.00 gamma=120.00
With the nearest neighbours (Å) after each atom.
Space group R3c (No. 161, hexagonal axes)
Inequivalent atoms, fractional coordinates:
Li 0.0000 0.0000 0.0000  6 F 1.94-2.17
Cu 0.0000 0.0000 0.2974  6 F 1.99-2.02
F 0.0091 0.3139 0.3904  2 Li 1.94-2.17, 2 Cu 1.99-2.02



3.
A plane-wave DFT calculation with SCAN was carried out for LiCuF3 at its PBEsol-relaxed geometry.

## Properties
density of states at the Fermi level	0.05	states/eV per atom
energy above the lowest structure with this stoichiometry	50	meV per atom
formation energy without anion corrections	-11.4	eV/f.u.

Unit cell a=4.8824 b=4.8824 c=14.0501 alpha=90.00 beta=90.00 gamma=120.00
With the nearest neighbours (Å) after each atom.
Space group P6_122 (No. 178)
Inequivalent atoms, fractional coordinates:
Li 0.0019 0.0038 0.2500  6 F 1.97-1.98
Cu 0.3318 0.6637 0.7500  6 F 2.02-2.03
F 0.0000 0.3226 0.8333  2 Li 1.97, 2 Cu 2.02
F 0.0028 0.3284 0.1665  2 Li 1.97-1.98, 2 Cu 2.02-2.03



4.
A plane-wave DFT calculation with SCAN was carried out for Li2CuF6 at its PBEsol-relaxed geometry.

## Properties
density of states at the Fermi level	0.50	states/eV per atom
formation energy without anion corrections	-19.1	eV/f.u.

Unit cell a=4.5614 b=4.5614 c=8.7429 alpha=90.00 beta=90.00 gamma=90.00
With the nearest neighbours (Å) after each atom.
Space group P4_2/mnm (No. 136)
Inequivalent atoms, fractional coordinates:
Li 0.0000 0.0000 0.1629  6 F 1.97-2.01
Cu 0.0000 0.0000 0.5000  6 F 1.83-1.86
F 0.1890 0.1890 0.3443  1 Cu 1.83, 2 Li 2.00-2.01
F 0.2117 0.2117 0.0000  1 Cu 1.86, 2 Li 1.97



5.
A plane-wave DFT calculation with SCAN was carried out for LiCuF3 at its PBEsol-relaxed geometry.

## Properties
density of states at the Fermi level	0.00	states/eV per atom
energy above the lowest structure with this stoichiometry	10	meV per atom
formation energy without anion corrections	-11.6	eV/f.u.

Unit cell a=3.2426 b=9.6469 c=7.5186 alpha=90.00 beta=106.08 gamma=90.00
With the nearest neighbours (Å) after each atom.
Space group P2_1/c (No. 14)
Inequivalent atoms, fractional coordinates:
Li 0.0107 0.1893 0.4821  4 F 1.86-1.98
Cu 0.3148 0.0023 0.1870  4 F 1.87-1.98
F 0.1453 0.6187 0.4710  2 Cu 1.95-1.98, 1 Li 1.98
F 0.1748 0.0960 0.7080  1 Li 1.86, 1 Cu 1.88
F 0.4428 0.1375 0.3722  2 Li 1.87-1.88, 1 Cu 1.87



6.
A plane-wave DFT calculation with SCAN was carried out for Li2Cu3F8 at its PBEsol-relaxed geometry.

## Properties
energy above the lowest structure with this stoichiometry	13	meV per atom
formation energy without anion corrections	-28.3	eV/f.u.

Unit cell a=8.3440 b=8.3440 c=8.3440 alpha=90.00 beta=90.00 gamma=90.00
With the nearest neighbours (Å) after each atom.
Space group P4_332 (No. 212)
Inequivalent atoms, fractional coordinates:
Li 0.0130 0.4870 0.5130  4 F 1.89-1.90
Cu 0.1027 0.6250 0.1473  6 F 1.95-2.12
F 0.1062 0.6062 0.8938  1 Li 1.89
F 0.1067 0.8669 0.6292  1 Li 1.90, 2 Cu 1.95-2.00



7.
A plane-wave DFT calculation with SCAN was carried out for LiCuRe2F at its PBEsol-relaxed geometry.

## Properties
density of states at the Fermi level	0.89	states/eV per atom
formation energy without anion corrections	9.2	eV/f.u.

Unit cell a=4.1846 b=4.1846 c=3.7447 alpha=90.00 beta=90.00 gamma=90.00
With the nearest neighbours (Å) after each atom.
Space group P4/mmm (No. 123)
Inequivalent atoms, fractional coordinates:
Li 0.0000 0.0000 0.0000  2 Cu 1.87, 4 Re 2.09
Cu 0.0000 0.0000 0.5000  2 Li 1.87
Re 0.0000 0.5000 0.0000  2 Li 2.09
F 0.5000 0.5000 0.5000  8 Re 2.81, 4 Cu 2.96



8.
A plane-wave DFT calculation with SCAN was carried out for Li2CuRuF at its PBEsol-relaxed geometry.

## Properties
density of states at the Fermi level	0.65	states/eV per atom
formation energy without anion corrections	1.7	eV/f.u.

Unit cell a=4.5478 b=4.5478 c=4.4941 alpha=90.00 beta=90.00 gamma=90.00
With the nearest neighbours (Å) after each atom.
Space group P4/mmm (No. 123)
Inequivalent atoms, fractional coordinates:
Li 0.0000 0.5000 0.0000  2 Cu 2.27
Cu 0.0000 0.0000 0.0000  2 Ru 2.25, 4 Li 2.27
Ru 0.0000 0.0000 0.5000  2 Cu 2.25
F 0.5000 0.5000 0.5000  8 Li 3.20, 4 Ru 3.22



9.
A plane-wave DFT calculation with SCAN was carried out for MgCuF4 at its PBEsol-relaxed geometry.

## Properties
density of states at the Fermi level	0.00	states/eV per atom
formation energy without anion corrections	-16.5	eV/f.u.

Unit cell a=5.0194 b=5.0194 c=9.8867 alpha=90.00 beta=90.00 gamma=90.00
With the nearest neighbours (Å) after each atom.
Space group I4/mcm (No. 140)
Inequivalent atoms, fractional coordinates:
Mg 0.0000 0.0000 0.2500  8 F 2.15
Cu 0.0000 0.5000 0.0000  4 F 1.90
F 0.1904 0.3096 0.1346  1 Cu 1.90



10.
A plane-wave DFT calculation with SCAN was carried out for MgCuOF2 at its PBEsol-relaxed geometry.

## Properties
density of states at the Fermi level	0.27	states/eV per atom
formation energy without anion corrections	-8.3	eV/f.u.

Unit cell a=3.8414 b=3.8414 c=3.8383 alpha=90.00 beta=90.00 gamma=90.00
With the nearest neighbours (Å) after each atom.
Space group P4/mmm (No. 123)
Inequivalent atoms, fractional coordinates:
Mg 0.0000 0.0000 0.0000  8 F 2.72, 4 O 2.72
Cu 0.5000 0.5000 0.5000  2 O 1.92, 4 F 1.92
O 0.5000 0.5000 0.0000  2 Cu 1.92
F 0.0000 0.5000 0.5000  2 Cu 1.92



11.
A plane-wave DFT calculation with SCAN was carried out for Mn2CuF at its PBEsol-relaxed geometry.

## Properties
density of states at the Fermi level	0.71	states/eV per atom
formation energy without anion corrections	-1.4	eV/f.u.

Unit cell a=5.8638 b=5.8638 c=5.8638 alpha=90.00 beta=90.00 gamma=90.00
With the nearest neighbours (Å) after each atom.
Space group Fm-3m (No. 225)
Inequivalent atoms, fractional coordinates:
Mn 0.2500 0.2500 0.2500  4 F 2.54, 4 Cu 2.54
Cu 0.0000 0.0000 0.0000  8 Mn 2.54
F 0.0000 0.0000 0.5000  8 Mn 2.54



12.
A plane-wave DFT calculation with SCAN was carried out for Mn2Cu2F at its PBEsol-relaxed geometry.

## Properties
density of states at the Fermi level	0.77	states/eV per atom
formation energy without anion corrections	1.1	eV/f.u.

Unit cell a=3.0014 b=3.0014 c=13.3277 alpha=90.00 beta=90.00 gamma=90.00
With the nearest neighbours (Å) after each atom.
Space group I4/mmm (No. 139)
Inequivalent atoms, fractional coordinates:
Mn 0.0000 0.5000 0.2500  4 Mn 2.12
Cu 0.0000 0.0000 0.0992  4 F 2.50, 4 Mn 2.51, 1 Cu 2.64
F 0.0000 0.0000 0.5000  8 Cu 2.50



> Among the records above, which one has the lowest formation energy without anion corrections?

Li2Cu3F8